TlCuTc4 | PBE | relaxed

a = 7.3516 Å, b = 7.3516 Å, c = 7.3516 Å
α = 90.00°, β = 90.00°, γ = 90.00°
Space group F-43m (No. 216)
Inequivalent atoms, fractional coordinates:
1 Tl 0.0000 0.0000 0.0000 (multiplicity 4)
2 Cu 0.2500 0.2500 0.7500 (multiplicity 4)
3 Tc 0.1243 0.1243 0.3757 (multiplicity 16)

Calculated values
Its raw total energy is -175.6 eV for the cell shown. The formation energy is 670.5 meV/atom. The calculation puts the total magnetic moment at 0.0 μB/cell.

***

CeCo3P2 | PBE | relaxed

a = 15.0200 Å, b = 3.7037 Å, c = 9.1179 Å
α = 90.00°, β = 107.09°, γ = 90.00°
Space group C2/m (No. 12)
Inequivalent atoms, fractional coordinates:
1 Ce 0.0000 0.0000 0.0000 (multiplicity 2)
2 Ce 0.1563 0.0000 0.7001 (multiplicity 4)
3 Co 0.0000 0.5000 0.5000 (multiplicity 2)
4 Co 0.0480 0.0000 0.3393 (multiplicity 4)
5 Co 0.1243 0.5000 0.2060 (multiplicity 4)
6 Co 0.1777 0.5000 0.9653 (multiplicity 4)
7 Co 0.2188 0.0000 0.3926 (multiplicity 4)
8 P 0.0319 0.5000 0.7732 (multiplicity 4)
9 P 0.1406 0.5000 0.4506 (multiplicity 4)
10 P 0.1982 0.0000 0.1286 (multiplicity 4)

Calculated values
Its raw total energy is -260.7 eV for the cell shown. The formation energy is -896.4 meV/atom. The calculation puts the total magnetic moment at 0.3 μB/cell.

***

BeNbSn2Br | PBE | relaxed

a = 5.5079 Å, b = 5.5079 Å, c = 4.9988 Å
α = 90.00°, β = 90.00°, γ = 90.00°
Space group P4/mmm (No. 123)
Inequivalent atoms, fractional coordinates:
1 Be 0.0000 0.0000 0.0000 (multiplicity 1)
2 Nb 0.5000 0.5000 0.5000 (multiplicity 1)
3 Sn 0.0000 0.5000 0.5000 (multiplicity 2)
4 Br 0.5000 0.5000 0.0000 (multiplicity 1)

Calculated values
The value obtained for the formation energy from raw total energies is 3.9 eV/f.u. Its raw total energy is -19.5 eV for the cell shown. The calculation puts the total magnetic moment at 0.0 μB/cell.

***

CePm6Ho4 | PBE | relaxed

a = 5.8451 Å, b = 9.6330 Å, c = 25.8850 Å
α = 90.00°, β = 90.00°, γ = 90.00°
Space group Cmcm (No. 63)
Inequivalent atoms, fractional coordinates:
1 Ce 0.0000 0.2120 0.2500 (multiplicity 4)
2 Pm 0.0000 0.1193 0.6806 (multiplicity 8)
3 Pm 0.0000 0.2025 0.1003 (multiplicity 8)
4 Pm 0.0000 0.4498 0.7500 (multiplicity 4)
5 Pm 0.0000 0.5000 0.0000 (multiplicity 4)
6 Ho 0.0000 0.1502 0.5429 (multiplicity 8)
7 Ho 0.0000 0.4531 0.6235 (multiplicity 8)

Calculated values
Its raw total energy is -204.8 eV for the cell shown. The formation energy is 141.7 meV/atom. The calculation puts the total magnetic moment at 4.0 μB/cell.

***

Nd2Sm4DyY2 | PBE | relaxed

a = 18.9317 Å, b = 3.6544 Å, c = 9.7038 Å
α = 90.00°, β = 115.69°, γ = 90.00°
Space group C2/m (No. 12)
Inequivalent atoms, fractional coordinates:
1 Nd 0.1657 0.0000 0.4993 (multiplicity 4)
2 Sm 0.0186 0.0000 0.8332 (multiplicity 4)
3 Sm 0.1855 0.5000 0.8338 (multiplicity 4)
4 Dy 0.0000 0.5000 0.5000 (multiplicity 2)
5 Y 0.1472 0.5000 0.1653 (multiplicity 4)

Calculated values
Its raw total energy is -91.8 eV for the cell shown. The formation energy is 2.8 meV/atom. The calculation puts the total magnetic moment at 0.0 μB/cell.

***

Ba2SrAc2Hg5 | PBE | relaxed

a = 13.2904 Å, b = 13.2904 Å, c = 4.2067 Å
α = 90.00°, β = 90.00°, γ = 90.00°
Space group P4/mbm (No. 127)
Inequivalent atoms, fractional coordinates:
1 Ba 0.1644 0.3356 0.0000 (multiplicity 4)
2 Sr 0.0000 0.0000 0.0000 (multiplicity 2)
3 Ac 0.1362 0.6362 0.0000 (multiplicity 4)
4 Hg 0.0000 0.5000 0.5000 (multiplicity 2)
5 Hg 0.1113 0.8336 0.5000 (multiplicity 8)

Calculated values
Its raw total energy is -37.9 eV for the cell shown. The formation energy is -367.6 meV/atom. The calculation puts the total magnetic moment at 0.0 μB/cell.

***

K2CeTe2O6 | PBE | relaxed

a = 10.0475 Å, b = 7.1254 Å, c = 6.5746 Å
α = 90.00°, β = 111.15°, γ = 90.00°
Space group C2/m (No. 12)
Inequivalent atoms, fractional coordinates:
1 K 0.1816 0.0000 0.0912 (multiplicity 4)
2 Ce 0.0000 0.0000 0.5000 (multiplicity 2)
3 Te 0.0555 0.5000 0.2586 (multiplicity 4)
4 O 0.0325 0.2092 0.2729 (multiplicity 8)
5 O 0.2499 0.0000 0.7191 (multiplicity 4)

Calculated values
The value obtained for the formation energy from raw total energies is -18.9 eV/f.u. Its raw total energy is -126.1 eV for the cell shown. The calculation puts the total magnetic moment at 0.0 μB/cell.

***

Sr2CdP | PBE | relaxed

a = 4.6045 Å, b = 4.6045 Å, c = 6.3681 Å
α = 90.00°, β = 90.00°, γ = 90.00°
Space group P4mm (No. 99)
Inequivalent atoms, fractional coordinates:
1 Sr 0.0000 0.0000 0.0000 (multiplicity 1)
2 Sr 0.5000 0.5000 0.4987 (multiplicity 1)
3 Cd 0.0000 0.0000 0.5001 (multiplicity 1)
4 P 0.5000 0.5000 0.9990 (multiplicity 1)

Calculated values
Its raw total energy is -11.3 eV for the cell shown. The formation energy is -406.3 meV/atom. The calculation puts the total magnetic moment at 0.0 μB/cell.

***

Among the records above, which one has the lowest raw total energy?
CeCo3P2

***

What is the total magnetic moment in the sixth record?
0.0 μB/cell

***

The highest raw total energy belongs to which entry?
Sr2CdP

***

What is the total magnetic moment in the third record?
0.0 μB/cell